Entry from the Open Quantum Materials Database: a relaxed structure of CsCdInTe3 (PBE).

Unit cell a=9.8422 b=4.4045 c=11.6270 alpha=90.00 beta=109.40 gamma=90.00
Last column: nearest neighbours and their distance in Å.
Space group P2_1/m (No. 11)
Symmetry-distinct sites (fractional):
Cs 0.2353 0.2500 0.2703  6 Te 3.87-3.98
Cd 0.0842 0.2500 0.6170  4 Te 2.87-2.94
In 0.3322 0.7500 0.9031  5 Te 2.87-3.04
Te 0.1176 0.2500 0.8736  1 Cd 2.89, 2 In 2.99
Te 0.2194 0.7500 0.5402  3 Cd 2.87-2.94
Te 0.4905 0.7500 0.1593  3 In 2.87-3.04

Computed properties:
Crystal system   monoclinic
E   -0.2125 Ry/atom

=====

Entry from the Open Quantum Materials Database: a relaxed structure of BaMgIn4Pd2 (PBE).

Unit cell a=8.0174 b=4.5753 c=10.4559 alpha=90.00 beta=90.00 gamma=90.00
Last column: nearest neighbours and their distance in Å.
Space group Amm2 (No. 38)
Symmetry-distinct sites (fractional):
Ba 0.0000 0.0000 0.0000  3 Pd 2.97-3.22
Mg 0.5000 0.0000 0.1262  1 Pd 2.82
In 0.2160 0.0000 0.7056  3 Pd 2.77-2.98
In 0.3121 0.0000 0.4137  3 Pd 2.80-2.85, 1 In 3.01
Pd 0.0000 0.0000 0.2836  6 In 2.85-2.98, 1 Ba 2.97
Pd 0.5000 0.0000 0.8569  6 In 2.77-2.80, 1 Mg 2.82

Computed properties:
Crystal system   orthorhombic
E   -0.2602 Ry/atom